An optimized crystal structure of Ba2BiO, computed with PBE.

Unit cell a=4.107 b=4.107 c=15.980 alpha=90.00 beta=90.00 gamma=90.00
Space group I-4m2 (No. 119)
Inequivalent atoms, fractional coordinates:
1 Ba 0.000 0.000 0.149 x4
2 Bi 0.000 0.000 0.500 x2
3 O 0.000 0.500 0.250 x2

Calculated values
ΔE to the lowest computed polymorph   18 meV per atom

***

An optimized crystal structure of Ba7Bi2O2, computed with PBE.

Unit cell a=8.650 b=14.686 c=11.233 alpha=90.00 beta=107.26 gamma=90.00
Space group C2/m (No. 12)
Inequivalent atoms, fractional coordinates:
1 Ba 0.000 0.000 0.000 x2
2 Ba 0.018 0.500 0.723 x4
3 Ba 0.100 0.144 0.334 x8
4 Bi 0.000 0.330 0.500 x4
5 O 0.176 0.000 0.228 x4

***

An optimized crystal structure of Ba2BiO5, computed with PBE.

Unit cell a=7.810 b=6.095 c=11.814 alpha=90.00 beta=90.00 gamma=90.00
Space group Pnma (No. 62)
Inequivalent atoms, fractional coordinates:
1 Ba 0.015 0.250 0.219 x4
2 Ba 0.169 0.750 0.421 x4
3 Bi 0.180 0.750 0.067 x4
4 O 0.000 0.000 0.000 x4
5 O 0.016 0.750 0.207 x4
6 O 0.162 0.511 0.620 x8
7 O 0.216 0.250 0.401 x4

Calculated values
ΔE to the lowest computed polymorph   0 meV per atom

***

An optimized crystal structure of Ba3Bi2O, computed with PBE.

Unit cell a=4.154 b=27.482 c=7.770 alpha=90.00 beta=90.00 gamma=90.00
Space group Cmcm (No. 63)
Inequivalent atoms, fractional coordinates:
1 Ba 0.000 0.092 0.004 x8
2 Ba 0.000 0.296 0.250 x4
3 Bi 0.000 0.319 0.750 x4
4 Bi 0.000 0.498 0.250 x4
5 O 0.000 0.147 0.750 x4

Calculated values
ΔE to the lowest computed polymorph   0 meV per atom

***

An optimized crystal structure of Ba5Bi2O2, computed with PBE.

Unit cell a=5.457 b=5.457 c=10.770 alpha=90.00 beta=90.00 gamma=90.00
Space group P4/mmm (No. 123)
Inequivalent atoms, fractional coordinates:
1 Ba 0.000 0.000 0.000 x1
2 Ba 0.000 0.500 0.281 x4
3 Bi 0.500 0.500 0.000 x1
4 Bi 0.500 0.500 0.500 x1
5 O 0.000 0.000 0.242 x2

Calculated values
ΔE to the lowest computed polymorph   0 meV per atom

***

An optimized crystal structure of Ba3Bi2O7, computed with PBE.

Unit cell a=4.440 b=4.440 c=22.391 alpha=90.00 beta=90.00 gamma=90.00
Space group I4/mmm (No. 139)
Inequivalent atoms, fractional coordinates:
1 Ba 0.000 0.000 0.000 x2
2 Ba 0.000 0.000 0.186 x4
3 Bi 0.000 0.000 0.400 x4
4 O 0.000 0.000 0.301 x4
5 O 0.000 0.000 0.500 x2
6 O 0.000 0.500 0.099 x8

Calculated values
ΔE to the lowest computed polymorph   0 meV per atom

***

These records have energy relative to the elements, uncorrected values of -6.3; -12.7; -13.7; -8.4; -14.6; -23.2 eV per formula unit, in the order they appear.
These records have M_tot values of 0.00; 1.32; 4.21; 0.00; 0.00; 0.00 μB per cell, in the order they appear.
These records have density of states at the Fermi level values of 3.05; 10.74; 21.94; 2.94; 0.14; 3.84 states/eV/cell, in the order they appear.